Record 1
The following is a PBE-GGA calculation of ScH2WS after structural relaxation, from Alexandria via LeMat-Bulk.

Properties
**SG**: P4/mmm
**VASP energy**: -31.31 eV/cell

```
ScH2WS
1.0
3.602 0.000 0.000
0.000 4.727 0.000
0.000 0.000 3.602
Sc H S W
1 2 1 1
Cartesian
1.801 2.363 1.801
0.000 0.000 1.801
1.801 0.000 0.000
0.000 2.363 0.000
0.000 0.000 0.000
```

=====

Record 2
The following is a PBE-GGA calculation of HSeS after structural relaxation, from Alexandria via LeMat-Bulk.

Properties
**SG**: I4mm
**VASP energy**: -10.56 eV/cell

```
HSeS
1.0
3.757 0.000 0.000
0.000 3.757 0.000
-1.878 -1.878 3.879
H S Se
1 1 1
Cartesian
1.878 1.878 0.556
0.000 0.000 3.050
1.878 1.878 2.988
```

=====

Record 3
The following is a PBE-GGA calculation of H2SeS6 after structural relaxation, from Alexandria via LeMat-Bulk.

Properties
**SG**: P2_1/c
**VASP energy**: -68.27 eV/cell

```
H2SeS6
1.0
14.412 0.000 -6.811
0.000 8.786 0.000
-6.429 0.000 6.442
H Se S
4 2 12
Cartesian
5.872 2.055 -0.017
6.103 6.448 -0.536
1.880 2.338 0.167
2.111 6.731 -0.352
7.206 4.393 -3.405
-3.214 0.000 3.221
10.117 6.791 -4.534
9.592 5.530 -2.989
8.897 6.623 -1.364
3.077 2.230 0.811
8.811 1.138 -4.006
8.287 2.398 -2.461
-2.134 1.995 4.166
-1.609 3.255 2.620
-0.914 2.163 0.995
4.906 6.556 -1.179
-0.828 7.648 3.638
-0.304 6.388 2.093
```

=====

Record 4
The following is a PBE-GGA calculation of H3Se2S2 after structural relaxation, from Alexandria via LeMat-Bulk.

Properties
**SG**: P1
**VASP energy**: -24.71 eV/cell

```
H3Se2S2
1.0
-6.091 -3.275 -4.624
-1.364 -4.012 3.258
-4.339 -0.116 0.559
H Se S
3 2 2
Cartesian
-4.321 -0.228 0.485
-3.001 -1.836 -0.144
-8.756 -5.560 -0.601
-5.423 -2.871 0.858
-6.443 -4.465 -1.672
-4.344 -1.425 -0.448
-7.433 -5.942 -0.340
```

=====

Record 5
The following is a PBE-GGA calculation of HSeS4 after structural relaxation, from Alexandria via LeMat-Bulk.

Properties
**SG**: P-1
**VASP energy**: -45.38 eV/cell

```
HSeS4
1.0
-4.147 -7.625 -5.444
1.818 -5.221 6.889
-3.043 8.368 -1.050
H Se S
2 2 8
Cartesian
-0.821 -1.819 2.800
-4.551 -2.659 -2.405
-1.855 -10.293 2.422
-3.517 5.816 -2.026
0.073 -1.035 2.123
-3.160 -10.417 0.617
-4.757 2.650 -2.886
-0.616 -7.128 3.281
-5.445 -3.443 -1.728
-1.633 -4.454 -0.365
-3.739 -0.023 0.760
-2.212 5.939 -0.222
```

=====

Record 6
The following is a PBE-GGA calculation of H2SeS2 after structural relaxation, from Alexandria via LeMat-Bulk.

Properties
**SG**: I4_1md
**VASP energy**: -35.49 eV/cell

```
H2SeS2
1.0
6.933 0.000 -3.016
-1.312 6.807 -3.016
-0.642 -0.778 8.000
H Se S
4 2 4
Cartesian
0.668 3.759 -1.282
1.182 2.681 2.718
1.573 0.656 3.615
5.539 3.759 -3.401
0.454 0.550 1.044
5.005 1.863 2.028
0.214 2.470 5.482
0.645 2.769 1.482
-0.046 6.353 -0.106
3.865 2.470 3.894
```

=====

Record 7
The following is a PBE-GGA calculation of H2SeS4 after structural relaxation, from Alexandria via LeMat-Bulk.

Properties
**SG**: I-42d
**VASP energy**: -49.46 eV/cell

```
H2SeS4
1.0
-4.708 4.708 3.314
4.708 -4.708 3.314
4.708 4.708 -3.314
H Se S
4 2 8
Cartesian
2.354 5.932 0.829
2.354 -1.225 4.143
1.225 2.354 2.486
3.483 2.354 -0.829
0.000 0.000 0.000
4.708 0.000 1.657
2.495 -1.344 2.498
-2.495 3.363 2.474
2.213 6.052 -0.817
3.363 2.213 0.817
1.344 2.495 4.131
7.203 1.344 -0.841
3.363 2.495 4.155
1.344 2.213 0.841
```

=====

Record 8
The following is a PBE-GGA calculation of HSe2S6 after structural relaxation, from Alexandria via LeMat-Bulk.

Properties
**SG**: C2/c
**VASP energy**: -68.28 eV/cell

```
HSe2S6
1.0
16.065 -1.971 -0.652
4.142 1.451 4.504
-1.995 -1.971 15.954
H Se S
2 4 12
Cartesian
18.045 -0.883 3.762
0.167 -1.608 16.044
11.297 -0.064 7.622
13.633 -1.702 10.163
6.915 -2.427 12.184
4.579 -0.789 9.643
5.832 -1.241 13.647
7.173 -0.525 15.105
12.380 -1.251 6.160
11.040 -1.966 4.701
2.533 -0.416 15.619
4.931 -1.350 18.227
15.679 -2.075 4.187
13.281 -1.142 1.579
3.404 -0.696 19.309
1.327 -1.070 17.050
14.808 -1.795 0.497
16.885 -1.422 2.757
```

=====

Which formula does entry 5 have? HSeS4

=====

Look up the VASP energy of the seventh one. -49.46 eV/cell